Below is a geometry-optimized Tb12Dy2Mg structure, with properties calculated at the GGA-PBE level.

Structure (POSCAR):
```
Tb12Dy2Mg
1.0
3.511 -5.667 0.000
3.511 5.667 0.000
-3.250 0.000 23.973
Tb Dy Mg
24 4 2
direct
0.004 0.570 0.695 Tb
0.054 0.536 0.826 Tb
0.141 0.662 0.057 Tb
0.150 0.150 0.652 Tb
0.161 0.709 0.566 Tb
0.171 0.171 0.071 Tb
0.291 0.839 0.434 Tb
0.338 0.859 0.943 Tb
0.347 0.347 0.921 Tb
0.376 0.376 0.392 Tb
0.430 0.996 0.305 Tb
0.464 0.946 0.174 Tb
0.536 0.054 0.826 Tb
0.570 0.004 0.695 Tb
0.624 0.624 0.608 Tb
0.653 0.653 0.079 Tb
0.662 0.141 0.057 Tb
0.709 0.161 0.566 Tb
0.829 0.829 0.929 Tb
0.839 0.291 0.434 Tb
0.850 0.850 0.348 Tb
0.859 0.338 0.943 Tb
0.946 0.464 0.174 Tb
0.996 0.430 0.305 Tb
0.021 0.021 0.788 Dy
0.473 0.473 0.233 Dy
0.527 0.527 0.767 Dy
0.979 0.979 0.212 Dy
0.222 0.222 0.517 Mg
0.778 0.778 0.483 Mg
```

Properties
Its space-group type is No. 12. For the energy of formation from the pure elements, the calculation gives 0.10 eV/atom. For the density of states at the Fermi level, the calculation gives 19.203 states/eV/f.u.